PmNd2Sm7 | GGA-PBE | optimized geometry

```
data_PmNd2Sm7
_chemical_formula_sum 'Pm2 Nd4 Sm14'
_cell_length_a 12.0252
_cell_length_b 16.9211
_cell_length_c 3.5448
_cell_angle_alpha 90.00
_cell_angle_beta 90.00
_cell_angle_gamma 90.00
_space_group_name_H-M_alt 'C m m m'
_space_group_IT_number 65
_space_group_name_Hall '-C 2 2'
loop_
_atom_site_label
_atom_site_fract_x
_atom_site_fract_y
_atom_site_fract_z
Pm1 0.0000 0.0000 0.0000
Nd1 0.0000 0.1724 0.5000
Sm1 0.0000 0.3264 0.0000
Sm2 0.0000 0.5000 0.5000
Sm3 0.2432 0.3725 0.5000
```

Output
Calculated volume   36.1 Å³/atom
Formation energy from the elements   388 meV/atom
Magnetization   0.000 μB per formula unit
E above lowest polymorph   0 meV per atom